# 1
MnNb6Rh12: relaxed, PBE-GGA. Values from VASP.

Properties
Crystal system: trigonal
Space-group type: R-3 (148)
Density, Mg/m³: 10.2

Structure (Quantum ESPRESSO input):
```
&SYSTEM
  ibrav = 0, nat = 19, ntyp = 3
/
ATOMIC_SPECIES
Rh 102.91 Rh.upf
Nb 92.91 Nb.upf
Mn 54.94 Mn.upf
CELL_PARAMETERS angstrom
-3.3576 -5.6598 -1.2719
-0.0802 -1.0901 6.6128
-5.6270 3.6342 0.2327
ATOMIC_POSITIONS crystal
Rh 0.4581 0.5451 0.2070
Rh 0.0341 0.1292 0.3545
Rh 0.1292 0.3545 0.0341
Rh 0.6455 0.9659 0.8708
Rh 0.2070 0.4581 0.5451
Rh 0.4549 0.7930 0.5419
Rh 0.8708 0.6455 0.9659
Rh 0.5451 0.2070 0.4581
Rh 0.3545 0.0341 0.1292
Rh 0.7930 0.5419 0.4549
Rh 0.9659 0.8708 0.6455
Rh 0.5419 0.4549 0.7930
Nb 0.6985 0.8745 0.2600
Nb 0.3015 0.1255 0.7400
Nb 0.2600 0.6985 0.8745
Nb 0.8745 0.2600 0.6985
Nb 0.7400 0.3015 0.1255
Nb 0.1255 0.7400 0.3015
Mn 0.0000 0.0000 0.0000
```

***

# 2
MnNbRh2: relaxed, PBE-GGA. Values from VASP.

Properties
Crystal system: tetragonal
Space-group type: I-42d (122)
Density, Mg/m³: 8.9

Structure (Quantum ESPRESSO input):
```
&SYSTEM
  ibrav = 0, nat = 8, ntyp = 3
/
ATOMIC_SPECIES
Rh 102.91 Rh.upf
Nb 92.91 Nb.upf
Mn 54.94 Mn.upf
CELL_PARAMETERS angstrom
6.8811 0.0000 0.0000
0.0000 6.8811 0.0000
3.4405 3.4405 2.7944
ATOMIC_POSITIONS crystal
Rh 0.6303 0.1250 0.2500
Rh 0.3750 0.3697 0.7500
Rh 0.1197 0.6250 0.2500
Rh 0.8750 0.8803 0.7500
Nb 0.7500 0.2500 0.5000
Nb 0.0000 0.0000 0.0000
Mn 0.2500 0.7500 0.5000
Mn 0.5000 0.5000 0.0000
```

***

# 3
Mn8Nb3Rh: relaxed, PBE-GGA. Values from VASP.

Properties
Crystal system: trigonal
Space-group type: P3m1 (156)
Density, Mg/m³: 8.8

Structure (Quantum ESPRESSO input):
```
&SYSTEM
  ibrav = 0, nat = 12, ntyp = 3
/
ATOMIC_SPECIES
Mn 54.94 Mn.upf
Nb 92.91 Nb.upf
Rh 102.91 Rh.upf
CELL_PARAMETERS angstrom
-0.8289 3.8157 2.7255
-3.1475 -1.2691 -3.3403
-3.7161 -4.5408 5.2268
ATOMIC_POSITIONS crystal
Mn 0.1612 0.3223 0.2520
Mn 0.9882 0.4941 0.7478
Mn 0.3333 0.6667 0.9972
Mn 0.5059 0.4941 0.7478
Mn 0.3333 0.6667 0.4986
Mn 0.5059 0.0118 0.7478
Mn 0.1612 0.8388 0.2520
Mn 0.6777 0.8388 0.2520
Nb 0.0000 0.0000 0.9302
Nb 0.6667 0.3333 0.4422
Nb 0.6667 0.3333 0.0646
Rh 0.0000 0.0000 0.5681
```

***

Number 1: formation enthalpy at 0 K -281 meV per atom, Fermi-level density of states 10.3 states/eV/f.u.. Number 2: formation enthalpy at 0 K 132 meV per atom, Fermi-level density of states 1.1 states/eV/f.u.. Number 3: formation enthalpy at 0 K -150 meV per atom, Fermi-level density of states 16.0 states/eV/f.u..